1.
Compound: Li2ZnCu
Source: the Alexandria database
Functional: meta-GGA SCAN
Structure: PBEsol geometry

Cell lengths 2.623, 2.623, 7.693 Å; angles 90.00, 90.00, 90.00 degrees
Positions (direct):
Li  0.000  0.000  0.237
Li  0.000  0.000  0.763
Zn  0.500  0.500  0.500
Cu  0.500  0.500  0.000

DOS(E_F) (states/eV/atom): 0.232
V (Å³/cell): 52.9
SG: No. 123
ΔH_f (0 K) (eV/f.u.): -0.3

---

2.
Compound: LiZn2Cu
Source: the Alexandria database
Functional: meta-GGA SCAN
Structure: PBEsol geometry

Cell lengths 2.941, 2.941, 5.960 Å; angles 90.00, 90.00, 90.00 degrees
Positions (direct):
Li  0.000  0.000  0.000
Zn  0.500  0.500  0.261
Zn  0.500  0.500  0.739
Cu  0.000  0.000  0.500

DOS(E_F) (states/eV/atom): 0.196
V (Å³/cell): 51.5
SG: No. 123
ΔH_f (0 K) (eV/f.u.): -0.6

---

3.
Compound: Li2ZnCu
Source: the Alexandria database
Functional: meta-GGA SCAN
Structure: PBEsol geometry

Cell lengths 2.542, 4.278, 4.909 Å; angles 90.00, 101.30, 90.00 degrees
Positions (direct):
Li  0.235  0.000  0.256
Li  0.765  0.000  0.744
Zn  0.500  0.500  0.000
Cu  0.000  0.500  0.500

DOS(E_F) (states/eV/atom): 0.327
V (Å³/cell): 52.3
SG: No. 10
ΔH_f (0 K) (eV/f.u.): -0.3

---

4.
Compound: LiZn2Cu
Source: the Alexandria database
Functional: meta-GGA SCAN
Structure: PBEsol geometry

Cell lengths 3.901, 3.901, 3.327 Å; angles 90.00, 90.00, 90.00 degrees
Positions (direct):
Li  0.000  0.000  0.000
Zn  0.000  0.500  0.500
Zn  0.500  0.000  0.500
Cu  0.500  0.500  0.000

DOS(E_F) (states/eV/atom): 0.246
V (Å³/cell): 50.6
SG: No. 123
ΔH_f (0 K) (eV/f.u.): -0.6

---

5.
Compound: Li2ZnCu
Source: the Alexandria database
Functional: meta-GGA SCAN
Structure: PBEsol geometry

Cell lengths 2.996, 2.996, 6.252 Å; angles 90.00, 90.00, 90.00 degrees
Positions (direct):
Li  0.000  0.000  0.000
Li  0.500  0.500  0.303
Zn  0.000  0.000  0.556
Cu  0.500  0.500  0.765

DOS(E_F) (states/eV/atom): 0.328
V (Å³/cell): 56.1
SG: No. 99
ΔH_f (0 K) (eV/f.u.): -0.3

---

6.
Compound: LiZn2Cu
Source: the Alexandria database
Functional: meta-GGA SCAN
Structure: PBEsol geometry

Cell lengths 2.589, 3.805, 5.216 Å; angles 90.00, 90.00, 90.00 degrees
Positions (direct):
Li  0.000  0.000  0.000
Zn  0.000  0.000  0.517
Zn  0.500  0.500  0.251
Cu  0.500  0.500  0.752

DOS(E_F) (states/eV/atom): 0.252
V (Å³/cell): 51.4
SG: No. 25
ΔH_f (0 K) (eV/f.u.): -0.5

---

7.
Compound: LiZnCu
Source: the Alexandria database
Functional: meta-GGA SCAN
Structure: PBEsol geometry

Cell lengths 2.542, 3.837, 7.707 Å; angles 90.00, 90.00, 90.00 degrees
Positions (direct):
Li  0.000  0.000  0.000
Li  0.500  0.500  0.500
Zn  0.000  0.000  0.673
Zn  0.500  0.500  0.173
Cu  0.000  0.000  0.329
Cu  0.500  0.500  0.829

DOS(E_F) (states/eV/atom): 0.286
Energy above the lowest structure with this stoichiometry (meV/atom): 0.0
V (Å³/cell): 75.2
SG: No. 44
ΔH_f (0 K) (eV/f.u.): -0.4

---

8.
Compound: LiZn2Cu
Source: the Alexandria database
Functional: meta-GGA SCAN
Structure: PBEsol geometry

Cell lengths 2.649, 2.649, 25.883 Å; angles 90.00, 90.00, 120.00 degrees
Positions (direct):
Li  0.000  0.000  0.000
Li  0.333  0.667  0.667
Li  0.667  0.333  0.333
Zn  0.000  0.000  0.247
Zn  0.000  0.000  0.753
Zn  0.333  0.667  0.420
Zn  0.333  0.667  0.914
Zn  0.667  0.333  0.086
Zn  0.667  0.333  0.580
Cu  0.000  0.000  0.500
Cu  0.333  0.667  0.167
Cu  0.667  0.333  0.833

DOS(E_F) (states/eV/atom): 0.300
V (Å³/cell): 157.3
SG: No. 166
ΔH_f (0 K) (eV/f.u.): -0.4

---

9.
Compound: LiZn4Cu
Source: the Alexandria database
Functional: meta-GGA SCAN
Structure: PBEsol geometry

Cell lengths 4.906, 4.906, 4.906 Å; angles 60.00, 60.00, 60.00 degrees
Positions (direct):
Li  0.000  0.000  0.000
Zn  0.375  0.375  0.375
Zn  0.375  0.375  0.874
Zn  0.375  0.874  0.375
Zn  0.874  0.375  0.375
Cu  0.750  0.750  0.750

DOS(E_F) (states/eV/atom): 0.230
V (Å³/cell): 83.5
SG: No. 216
ΔH_f (0 K) (eV/f.u.): -0.6

---

10.
Compound: LiZn2Cu
Source: the Alexandria database
Functional: meta-GGA SCAN
Structure: PBEsol geometry

Cell lengths 5.193, 7.801, 2.572 Å; angles 90.00, 101.00, 90.00 degrees
Positions (direct):
Li  0.000  0.000  0.000
Li  0.500  0.500  0.000
Zn  0.250  0.250  0.500
Zn  0.250  0.750  0.500
Zn  0.750  0.250  0.500
Zn  0.750  0.750  0.500
Cu  0.000  0.500  0.000
Cu  0.500  0.000  0.000

DOS(E_F) (states/eV/atom): 0.269
V (Å³/cell): 102.3
SG: No. 12
ΔH_f (0 K) (eV/f.u.): -0.5

---

11.
Compound: LiZrCu2
Source: the Alexandria database
Functional: meta-GGA SCAN
Structure: PBEsol geometry

Cell lengths 2.796, 2.796, 27.125 Å; angles 90.00, 90.00, 120.00 degrees
Positions (direct):
Li  0.000  0.000  0.000
Li  0.333  0.667  0.667
Li  0.667  0.333  0.333
Zr  0.000  0.000  0.232
Zr  0.333  0.667  0.899
Zr  0.667  0.333  0.565
Cu  0.000  0.000  0.480
Cu  0.000  0.000  0.743
Cu  0.333  0.667  0.146
Cu  0.333  0.667  0.410
Cu  0.667  0.333  0.077
Cu  0.667  0.333  0.813

DOS(E_F) (states/eV/atom): 0.348
V (Å³/cell): 183.6
SG: No. 160
ΔH_f (0 K) (eV/f.u.): 0.8

---

12.
Compound: LiZrCu2
Source: the Alexandria database
Functional: meta-GGA SCAN
Structure: PBEsol geometry

Cell lengths 2.832, 3.190, 6.362 Å; angles 90.00, 90.00, 90.00 degrees
Positions (direct):
Li  0.000  0.000  0.000
Zr  0.000  0.000  0.500
Cu  0.500  0.500  0.212
Cu  0.500  0.500  0.788

DOS(E_F) (states/eV/atom): 0.623
V (Å³/cell): 57.5
SG: No. 47
ΔH_f (0 K) (eV/f.u.): -0.1

---

13.
Compound: Lu6Cu23
Source: the Alexandria database
Functional: meta-GGA SCAN
Structure: PBEsol geometry

Cell lengths 8.343, 8.343, 8.343 Å; angles 60.00, 60.00, 60.00 degrees
Positions (direct):
Lu  0.212  0.212  0.788
Lu  0.212  0.788  0.212
Lu  0.212  0.788  0.788
Lu  0.788  0.212  0.212
Lu  0.788  0.212  0.788
Lu  0.788  0.788  0.212
Cu  0.000  0.000  0.500
Cu  0.000  0.500  0.000
Cu  0.000  0.500  0.500
Cu  0.135  0.622  0.622
Cu  0.173  0.173  0.173
Cu  0.173  0.173  0.482
Cu  0.173  0.482  0.173
Cu  0.378  0.378  0.378
Cu  0.378  0.378  0.865
Cu  0.378  0.865  0.378
Cu  0.482  0.173  0.173
Cu  0.500  0.000  0.000
Cu  0.500  0.000  0.500
Cu  0.500  0.500  0.000
Cu  0.500  0.500  0.500
Cu  0.518  0.827  0.827
Cu  0.622  0.135  0.622
Cu  0.622  0.622  0.135
Cu  0.622  0.622  0.622
Cu  0.827  0.518  0.827
Cu  0.827  0.827  0.518
Cu  0.827  0.827  0.827
Cu  0.865  0.378  0.378

DOS(E_F) (states/eV/atom): 0.496
V (Å³/cell): 410.7
SG: No. 225
ΔH_f (0 K) (eV/f.u.): -6.9

---

14.
Compound: LuCu2
Source: the Alexandria database
Functional: meta-GGA SCAN
Structure: PBEsol geometry

Cell lengths 4.191, 6.485, 7.110 Å; angles 90.00, 90.00, 90.00 degrees
Positions (direct):
Lu  0.000  0.250  0.048
Lu  0.000  0.750  0.952
Lu  0.500  0.250  0.452
Lu  0.500  0.750  0.548
Cu  0.000  0.053  0.664
Cu  0.000  0.447  0.664
Cu  0.000  0.553  0.336
Cu  0.000  0.947  0.336
Cu  0.500  0.053  0.836
Cu  0.500  0.447  0.836
Cu  0.500  0.553  0.164
Cu  0.500  0.947  0.164

DOS(E_F) (states/eV/atom): 0.522
V (Å³/cell): 193.3
SG: No. 74
ΔH_f (0 K) (eV/f.u.): -1.0

---

15.
Compound: LuCu2O4
Source: the Alexandria database
Functional: meta-GGA SCAN
Structure: PBEsol geometry

Cell lengths 6.118, 6.118, 6.118 Å; angles 126.46, 126.46, 79.13 degrees
Positions (direct):
Lu  0.375  0.125  0.250
Lu  0.625  0.875  0.750
Cu  0.000  0.000  0.500
Cu  0.000  0.500  0.000
Cu  0.000  0.500  0.500
Cu  0.500  0.500  0.000
O  0.030  0.727  0.900
O  0.227  0.827  0.698
O  0.327  0.129  0.600
O  0.371  0.470  0.198
O  0.629  0.530  0.802
O  0.673  0.871  0.400
O  0.773  0.173  0.302
O  0.970  0.273  0.100

DOS(E_F) (states/eV/atom): 0.269
V (Å³/cell): 143.3
SG: No. 88
Formation energy without anion corrections (kJ/mol of formula units): -1338

---

16.
Compound: Lu2Ti12Cu9O36
Source: the Alexandria database
Functional: meta-GGA SCAN
Structure: PBEsol geometry

Cell lengths 10.369, 10.369, 6.365 Å; angles 90.00, 90.00, 120.00 degrees
Positions (direct):
Lu  0.333  0.667  0.329
Lu  0.667  0.333  0.671
Ti  0.000  0.000  0.500
Ti  0.000  0.500  0.500
Ti  0.158  0.838  0.162
Ti  0.162  0.320  0.162
Ti  0.320  0.158  0.838
Ti  0.333  0.667  0.841
Ti  0.500  0.000  0.500
Ti  0.500  0.500  0.500
Ti  0.667  0.333  0.159
Ti  0.680  0.842  0.162
Ti  0.838  0.680  0.838
Ti  0.842  0.162  0.838
Cu  0.000  0.500  0.000
Cu  0.169  0.338  0.659
Cu  0.169  0.831  0.659
Cu  0.338  0.169  0.341
Cu  0.500  0.000  0.000
Cu  0.500  0.500  0.000
Cu  0.662  0.831  0.659
Cu  0.831  0.169  0.341
Cu  0.831  0.662  0.341
O  0.015  0.850  0.331
O  0.046  0.775  0.908
O  0.077  0.625  0.249
O  0.121  0.414  0.412
O  0.150  0.165  0.331
O  0.165  0.015  0.669
O  0.178  0.650  0.643
O  0.193  0.510  0.020
O  0.225  0.271  0.908
O  0.271  0.046  0.092
O  0.293  0.879  0.412
O  0.318  0.807  0.020
O  0.350  0.528  0.643
O  0.375  0.452  0.249
O  0.414  0.293  0.588
O  0.452  0.077  0.751
O  0.472  0.822  0.643
O  0.490  0.682  0.020
O  0.510  0.318  0.980
O  0.528  0.178  0.357
O  0.548  0.923  0.249
O  0.586  0.707  0.412
O  0.625  0.548  0.751
O  0.650  0.472  0.357
O  0.682  0.193  0.980
O  0.707  0.121  0.588
O  0.729  0.954  0.908
O  0.775  0.729  0.092
O  0.807  0.490  0.980
O  0.822  0.350  0.357
O  0.835  0.985  0.331
O  0.850  0.835  0.669
O  0.879  0.586  0.588
O  0.923  0.375  0.751
O  0.954  0.225  0.092
O  0.985  0.150  0.669

V (Å³/cell): 592.7
SG: No. 147
Formation energy without anion corrections (kJ/mol of formula units): -14820

---

17.
Compound: LuCuW2O8
Source: the Alexandria database
Functional: meta-GGA SCAN
Structure: PBEsol geometry

Cell lengths 4.967, 5.806, 10.747 Å; angles 90.00, 115.20, 90.00 degrees
Positions (direct):
Lu  0.000  0.175  0.250
Lu  0.000  0.825  0.750
Cu  0.500  0.197  0.750
Cu  0.500  0.803  0.250
W  0.236  0.325  0.988
W  0.236  0.675  0.488
W  0.764  0.325  0.512
W  0.764  0.675  0.012
O  0.165  0.407  0.613
O  0.165  0.593  0.113
O  0.220  0.130  0.116
O  0.220  0.870  0.616
O  0.270  0.131  0.863
O  0.270  0.869  0.363
O  0.337  0.387  0.402
O  0.337  0.613  0.902
O  0.663  0.387  0.098
O  0.663  0.613  0.598
O  0.730  0.131  0.637
O  0.730  0.869  0.137
O  0.780  0.130  0.384
O  0.780  0.870  0.884
O  0.835  0.407  0.887
O  0.835  0.593  0.387

V (Å³/cell): 280.5
SG: No. 13
Formation energy without anion corrections (kJ/mol of formula units): -2826

---

18.
Compound: Lu2CuOs
Source: the Alexandria database
Functional: meta-GGA SCAN
Structure: PBEsol geometry

Cell lengths 6.606, 6.606, 6.606 Å; angles 90.00, 90.00, 90.00 degrees
Positions (direct):
Lu  0.250  0.250  0.250
Lu  0.250  0.250  0.750
Lu  0.250  0.750  0.250
Lu  0.250  0.750  0.750
Lu  0.750  0.250  0.250
Lu  0.750  0.250  0.750
Lu  0.750  0.750  0.250
Lu  0.750  0.750  0.750
Cu  0.000  0.000  0.000
Cu  0.000  0.500  0.500
Cu  0.500  0.000  0.500
Cu  0.500  0.500  0.000
Os  0.000  0.000  0.500
Os  0.000  0.500  0.000
Os  0.500  0.000  0.000
Os  0.500  0.500  0.500

DOS(E_F) (states/eV/atom): 0.459
V (Å³/cell): 288.3
SG: No. 225
ΔH_f (0 K) (eV/f.u.): -2.0

---

19.
Compound: Lu2CuRh
Source: the Alexandria database
Functional: meta-GGA SCAN
Structure: PBEsol geometry

Cell lengths 6.636, 6.636, 6.636 Å; angles 90.00, 90.00, 90.00 degrees
Positions (direct):
Lu  0.250  0.250  0.250
Lu  0.250  0.250  0.750
Lu  0.250  0.750  0.250
Lu  0.250  0.750  0.750
Lu  0.750  0.250  0.250
Lu  0.750  0.250  0.750
Lu  0.750  0.750  0.250
Lu  0.750  0.750  0.750
Cu  0.000  0.000  0.000
Cu  0.000  0.500  0.500
Cu  0.500  0.000  0.500
Cu  0.500  0.500  0.000
Rh  0.000  0.000  0.500
Rh  0.000  0.500  0.000
Rh  0.500  0.000  0.000
Rh  0.500  0.500  0.500

DOS(E_F) (states/eV/atom): 0.487
V (Å³/cell): 292.2
SG: No. 225
ΔH_f (0 K) (eV/f.u.): -3.0

---

20.
Compound: LuCu3S3
Source: the Alexandria database
Functional: meta-GGA SCAN
Structure: PBEsol geometry

Cell lengths 7.227, 7.227, 7.227 Å; angles 53.73, 53.73, 53.73 degrees
Positions (direct):
Lu  0.166  0.166  0.166
Lu  0.834  0.834  0.834
Cu  0.036  0.377  0.718
Cu  0.282  0.964  0.623
Cu  0.377  0.718  0.036
Cu  0.623  0.282  0.964
Cu  0.718  0.036  0.377
Cu  0.964  0.623  0.282
S  0.088  0.748  0.419
S  0.252  0.581  0.912
S  0.419  0.088  0.748
S  0.581  0.912  0.252
S  0.748  0.419  0.088
S  0.912  0.252  0.581

DOS(E_F) (states/eV/atom): 0.000
V (Å³/cell): 227.8
SG: No. 148
Formation energy without anion corrections (kJ/mol of formula units): -657

---

21.
Compound: LuCu2S2
Source: the Alexandria database
Functional: meta-GGA SCAN
Structure: PBEsol geometry

Cell lengths 3.881, 3.881, 6.056 Å; angles 90.00, 90.00, 120.00 degrees
Positions (direct):
Lu  0.000  0.000  0.000
Cu  0.333  0.667  0.333
Cu  0.667  0.333  0.667
S  0.333  0.667  0.739
S  0.667  0.333  0.261

DOS(E_F) (states/eV/atom): 0.350
V (Å³/cell): 79.0
SG: No. 164
Formation energy without anion corrections (kJ/mol of formula units): -416

---

22.
Compound: LuCuSb2
Source: the Alexandria database
Functional: meta-GGA SCAN
Structure: PBEsol geometry

Cell lengths 4.240, 4.240, 9.401 Å; angles 90.00, 90.00, 90.00 degrees
Positions (direct):
Lu  0.250  0.250  0.249
Lu  0.750  0.750  0.751
Cu  0.250  0.750  0.000
Cu  0.750  0.250  0.000
Sb  0.250  0.250  0.833
Sb  0.250  0.750  0.500
Sb  0.750  0.250  0.500
Sb  0.750  0.750  0.167

DOS(E_F) (states/eV/atom): 0.241
V (Å³/cell): 169.0
SG: No. 129
Formation energy without anion corrections (kJ/mol of formula units): -223

---

23.
Compound: LuCuSe2
Source: the Alexandria database
Functional: meta-GGA SCAN
Structure: PBEsol geometry

Cell lengths 3.976, 3.976, 6.257 Å; angles 90.00, 90.00, 120.00 degrees
Positions (direct):
Lu  0.000  0.000  0.000
Cu  0.333  0.667  0.620
Se  0.333  0.667  0.236
Se  0.667  0.333  0.731

DOS(E_F) (states/eV/atom): 0.000
V (Å³/cell): 85.7
SG: No. 156
Formation energy without anion corrections (kJ/mol of formula units): -512